5
Lattice="4.931 0.000 0.000 0.000 4.931 0.000 0.000 0.000 4.931" Properties=species:S:1:pos:R:3 comment="AlReSe3 | the Alexandria database | PBE | relaxed" de_polymorph_mev_per_atom=0 total_energy_ev_per_atom=-4.862 volume_a3_per_cell=119.9 m_tot_mub_per_cell=0.0 dos_at_fermi_per_ev_cell=4.94 formation_energy_uncorrected_mev_per_atom=467 sg="Pm-3m, No. 221" pbc="T T T"
Se 0.000 2.466 0.000
Se 0.000 0.000 2.466
Al 2.466 2.466 2.466
Se 2.466 0.000 0.000
Re 0.000 0.000 0.000

***

7
Lattice="4.281 0.000 0.000 0.000 7.332 -0.136 -2.140 -3.707 6.961" Properties=species:S:1:pos:R:3 comment="Dy4Sb2Pt | the Alexandria database | PBE | relaxed" total_energy_ev_per_atom=-5.520 volume_a3_per_cell=216.3 m_tot_mub_per_cell=0.0 dos_at_fermi_per_ev_cell=4.15 formation_energy_uncorrected_mev_per_atom=-849 sg="C2/m, No. 12" pbc="T T T"
Sb 0.000 -0.021 3.694
Pt 0.000 0.000 0.000
Dy 2.140 -1.399 5.331
Dy 0.000 2.638 5.227
Dy 0.000 5.024 1.494
Sb 2.140 3.646 3.131
Dy 2.140 0.987 1.598

***

5
Lattice="3.326 0.000 0.000 1.663 5.170 0.241 1.663 1.617 4.917" Properties=species:S:1:pos:R:3 comment="Hf2TiNi2 | the Alexandria database | PBE | relaxed" de_polymorph_mev_per_atom=4 total_energy_ev_per_atom=-8.213 volume_a3_per_cell=83.3 m_tot_mub_per_cell=0.0 e_form_ev_per_atom=-0.34 dos_at_fermi_per_ev_cell=4.94 sg="Immm, No. 71" pbc="T T T"
Ti 0.000 0.000 0.000
Hf 4.988 4.780 3.633
Ni 3.326 4.130 1.610
Ni 3.326 2.657 3.548
Hf 1.663 2.007 1.525

***

16
Lattice="-3.661 3.831 0.889 -3.609 -3.755 1.320 2.288 0.443 7.515" Properties=species:S:1:pos:R:3 comment="SiOs2Pt | the Alexandria database | PBE | relaxed" total_energy_ev_per_atom=-8.664 volume_a3_per_cell=227.1 m_tot_mub_per_cell=0.0 dos_at_fermi_per_ev_cell=13.32 formation_energy_uncorrected_mev_per_atom=-183 sg="I4/mcm, No. 140" pbc="T T T"
Si -1.258 2.026 2.323
Os -4.122 1.939 1.141
Pt -1.919 0.370 6.741
Os -1.821 0.514 0.524
Os -2.030 2.151 4.610
Os -5.449 -0.438 1.685
Os -0.670 -0.254 4.338
Os -4.311 0.773 5.386
Si -0.088 -1.546 6.296
Si -0.114 2.247 6.081
Pt 0.572 0.111 1.879
Os -2.952 -1.632 5.114
Pt 1.716 0.332 5.636
Os -3.148 -1.863 1.068
Pt -3.063 0.149 2.983
Si -1.232 -1.767 2.539

***

12
Lattice="5.221 0.004 -1.606 -0.832 7.044 -2.684 0.040 -0.490 9.417" Properties=species:S:1:pos:R:3 comment="SrDy5Tl6 | the Alexandria database | PBE | relaxed" total_energy_ev_per_atom=-3.572 volume_a3_per_cell=339.3 m_tot_mub_per_cell=0.0 e_form_ev_per_atom=-0.33 dos_at_fermi_per_ev_cell=9.51 sg="Immm, No. 71" pbc="T T T"
Tl 4.286 0.290 4.645
Sr 0.000 0.000 0.000
Tl 0.143 6.269 0.481
Tl 2.391 1.861 -1.512
Tl 3.882 3.717 3.339
Dy 2.949 4.549 0.309
Dy 1.096 5.575 3.577
Tl 1.998 5.187 -2.779
Dy 1.480 2.010 4.817
Dy 3.333 0.984 1.549
Tl 0.547 2.842 1.787
Dy -0.416 3.522 -1.342

***

5
Lattice="-3.126 -1.664 3.850 -3.675 -1.226 -3.515 2.014 -4.790 -0.435" Properties=species:S:1:pos:R:3 comment="ZrAs2BrF | the Alexandria database | PBE | relaxed" de_polymorph_mev_per_atom=4 total_energy_ev_per_atom=-4.453 volume_a3_per_cell=142.7 m_tot_mub_per_cell=0.7 dos_at_fermi_per_ev_cell=4.99 formation_energy_uncorrected_mev_per_atom=-175 sg="P4/mmm, No. 123" pbc="T T T"
Br 1.007 -2.395 -0.218
As -1.563 -0.832 1.925
Zr 0.000 0.000 0.000
As -1.838 -0.613 -1.757
F -2.393 -3.840 -0.050